# LaGa2HgRu

A relaxed structure of LaGa2HgRu (PBE-GGA, Alexandria).

Cell: 4.9123 4.9123 5.2740 Å, 90.00 90.00 90.00°
Closest atoms and distances in Å follow each position.
Space group P4/mmm (No. 123)
One atom of each set of equivalent atoms:
1 La 0.0000 0.0000 0.0000 x1  2 Ru 2.64
2 Ga 0.0000 0.5000 0.5000 x2  2 Ru 2.46
3 Hg 0.5000 0.5000 0.0000 x1  4 La 3.47, 8 Ga 3.60
4 Ru 0.0000 0.0000 0.5000 x1  4 Ga 2.46, 2 La 2.64

## Properties
Uncorrected energy in hartree per atom: -0.164
Energy relative to the elements in kcal/mol of atoms: -8.17
Spin magnetization in μB per cell: 0.00
Crystal system: tetragonal